Record 1
Computed, not measured: a geometry-optimized TcPtRh structure at the PBEsol level of DFT.

Calculated formation energy (eV per atom): -0.114

a = 2.703 Å, b = 2.703 Å, c = 6.667 Å
α = 90.00°, β = 90.00°, γ = 120.00°
Fractional coordinates of all 3 atoms:
Tc 0.667 0.333 0.341
Rh 0.333 0.667 0.655
Pt 0.000 0.000 0.004

Record 2
Computed, not measured: a geometry-optimized TcPt2Rh structure at the PBEsol level of DFT.

Calculated formation energy (eV per atom): -0.131

a = 3.825 Å, b = 3.825 Å, c = 4.734 Å
α = 113.83°, β = 113.83°, γ = 90.00°
Fractional coordinates of all 4 atoms:
Rh 0.500 0.500 0.000
Pt 0.000 0.000 0.000
Pt 0.250 0.750 0.500
Tc 0.750 0.250 0.500

Record 3
Computed, not measured: a geometry-optimized TcPtRh2 structure at the PBEsol level of DFT.

Calculated formation energy (eV per atom): -0.129

a = 2.689 Å, b = 3.797 Å, c = 5.435 Å
α = 90.00°, β = 90.00°, γ = 90.00°
Fractional coordinates of all 4 atoms:
Tc 0.500 0.500 0.000
Rh 0.000 0.000 0.240
Rh 0.000 0.000 0.760
Pt 0.500 0.500 0.500

Record 4
Computed, not measured: a geometry-optimized TcPtRh2 structure at the PBEsol level of DFT.

Calculated formation energy (eV per atom): -0.051

a = 2.689 Å, b = 4.675 Å, c = 4.675 Å
α = 109.32°, β = 90.00°, γ = 90.00°
Fractional coordinates of all 4 atoms:
Pt 0.500 0.500 0.500
Rh 0.000 0.500 0.000
Tc 0.500 0.000 0.000
Rh 0.000 0.000 0.500

Record 5
Computed, not measured: a geometry-optimized Tc2PtRh structure at the PBEsol level of DFT.

Calculated formation energy (eV per atom): -0.074

a = 2.706 Å, b = 2.706 Å, c = 9.005 Å
α = 81.36°, β = 81.36°, γ = 60.00°
Fractional coordinates of all 4 atoms:
Tc 0.747 0.747 0.758
Pt 0.499 0.499 0.502
Tc 0.000 0.000 0.999
Rh 0.253 0.253 0.242

Record 6
Computed, not measured: a geometry-optimized TcPt2Rh structure at the PBEsol level of DFT.

Calculated formation energy (eV per atom): -0.144

a = 2.707 Å, b = 3.848 Å, c = 5.467 Å
α = 90.00°, β = 90.00°, γ = 90.00°
Fractional coordinates of all 4 atoms:
Pt 0.500 0.500 0.254
Tc 0.500 0.500 0.743
Pt 0.000 0.000 0.992
Rh 0.000 0.000 0.512

Repeat the second record exactly.
Computed, not measured: a geometry-optimized TcPt2Rh structure at the PBEsol level of DFT.

Calculated formation energy (eV per atom): -0.131

a = 3.825 Å, b = 3.825 Å, c = 4.734 Å
α = 113.83°, β = 113.83°, γ = 90.00°
Fractional coordinates of all 4 atoms:
Rh 0.500 0.500 0.000
Pt 0.000 0.000 0.000
Pt 0.250 0.750 0.500
Tc 0.750 0.250 0.500

Repeat the fifth record exactly.
Computed, not measured: a geometry-optimized Tc2PtRh structure at the PBEsol level of DFT.

Calculated formation energy (eV per atom): -0.074

a = 2.706 Å, b = 2.706 Å, c = 9.005 Å
α = 81.36°, β = 81.36°, γ = 60.00°
Fractional coordinates of all 4 atoms:
Tc 0.747 0.747 0.758
Pt 0.499 0.499 0.502
Tc 0.000 0.000 0.999
Rh 0.253 0.253 0.242

Q: Number 3 is which compound?
A: TcPtRh2